(1)
The following is a PBE calculation of an optimized crystal structure of TcSb2Pt, from Alexandria.

a = 6.7866 Å, b = 6.7866 Å, c = 6.7866 Å
α = 90.00°, β = 90.00°, γ = 90.00°
Closest atoms and distances in Å follow each position.
Space group F-43m (No. 216)
Asymmetric unit:
Tc (0.0000, 0.0000, 0.0000) (multiplicity 4)  4 Pt 2.94, 4 Sb 2.94
Sb (0.0000, 0.0000, 0.5000) (multiplicity 4)  4 Sb 2.94, 4 Pt 2.94
Sb (0.2500, 0.2500, 0.2500) (multiplicity 4)  4 Tc 2.94, 4 Sb 2.94
Pt (0.2500, 0.2500, 0.7500) (multiplicity 4)  4 Tc 2.94, 4 Sb 2.94

Computed properties:
DOS(E_F) ... 7.0 states/eV per cell
Uncorrected formation energy ... 0.513 eV per atom
E above lowest polymorph ... 583 meV/atom

(2)
The following is a PBE calculation of an optimized crystal structure of YRuAu2, from Alexandria.

a = 3.0504 Å, b = 3.0504 Å, c = 28.6380 Å
α = 90.00°, β = 90.00°, γ = 120.00°
Closest atoms and distances in Å follow each position.
Space group R-3m (No. 166, hexagonal axes)
Asymmetric unit:
Y (0.0000, 0.0000, 0.0000) (multiplicity 3)  6 Y 3.05, 6 Au 3.09
Ru (0.0000, 0.0000, 0.5000) (multiplicity 3)  6 Au 2.85, 6 Ru 3.05
Au (0.0000, 0.0000, 0.2448) (multiplicity 6)  3 Ru 2.85, 6 Au 3.05, 3 Y 3.09

Computed properties:
DOS(E_F) ... 12.2 states/eV per cell
E above lowest polymorph ... 662 meV/atom

(3)
The following is a PBE calculation of an optimized crystal structure of Dy5Ho12Tl2, from Alexandria.

a = 15.3402 Å, b = 9.2925 Å, c = 8.2492 Å
α = 90.00°, β = 91.64°, γ = 90.00°
Closest atoms and distances in Å follow each position.
Space group C2/m (No. 12)
Asymmetric unit:
Dy (0.0000, 0.0000, 0.0000) (multiplicity 2)  10 Ho 3.41-3.65, 2 Dy 3.65
Dy (0.1877, 0.5000, 0.5030) (multiplicity 4)  2 Tl 3.37, 8 Ho 3.39-3.64, 1 Dy 3.59
Dy (0.2351, 0.0000, 0.0823) (multiplicity 4)  10 Ho 3.33-3.70, 2 Dy 3.59-3.65
Ho (0.0525, 0.5000, 0.8208) (multiplicity 4)  2 Tl 3.26, 7 Ho 3.29-3.47, 2 Dy 3.33-3.39
Ho (0.0866, 0.0000, 0.3855) (multiplicity 4)  5 Ho 3.30-3.49, 2 Tl 3.33, 3 Dy 3.41-3.56
Ho (0.1250, 0.3039, 0.1562) (multiplicity 8)  6 Ho 3.29-3.66, 4 Dy 3.36-3.63, 1 Tl 3.47
Ho (0.1509, 0.1849, 0.7372) (multiplicity 8)  1 Tl 3.21, 4 Ho 3.37-3.53, 2 Dy 3.54-3.56
Tl (0.0000, 0.3113, 0.5000) (multiplicity 4)  8 Ho 3.21-3.47, 2 Dy 3.37, 1 Tl 3.51

Computed properties:
DOS(E_F) ... 55.7 states/eV per cell
Calculated total energy ... -4.328 eV/atom

(4)
The following is a PBE calculation of an optimized crystal structure of LiCdRu2, from Alexandria.

a = 2.9569 Å, b = 4.6398 Å, c = 8.8543 Å
α = 90.00°, β = 90.00°, γ = 90.00°
Closest atoms and distances in Å follow each position.
Space group Imm2 (No. 44)
Asymmetric unit:
Li (0.0000, 0.0000, 0.0000) (multiplicity 2)  6 Ru 2.63-2.76, 2 Cd 2.67
Cd (0.0000, 0.5000, 0.2486) (multiplicity 2)  2 Li 2.67, 6 Ru 2.75-2.82, 2 Cd 2.96
Ru (0.0000, 0.0000, 0.4776) (multiplicity 2)  2 Ru 2.53, 4 Li 2.76, 2 Cd 2.82
Ru (0.0000, 0.5000, 0.7454) (multiplicity 2)  2 Ru 2.53, 2 Li 2.63, 4 Cd 2.75

Computed properties:
DOS(E_F) ... 8.9 states/eV per cell
Calculated total energy ... -5.005 eV/atom

(5)
The following is a PBE calculation of an optimized crystal structure of SrCrCo2, from Alexandria.

a = 3.1058 Å, b = 4.9999 Å, c = 8.8414 Å
α = 90.00°, β = 90.00°, γ = 90.00°
Closest atoms and distances in Å follow each position.
Space group Immm (No. 71)
Asymmetric unit:
Sr (0.0000, 0.0000, 0.0000) (multiplicity 2)  8 Co 2.93-3.16, 4 Cr 2.94, 2 Sr 3.11
Cr (0.0000, 0.0000, 0.5000) (multiplicity 2)  4 Co 2.48
Co (0.0000, 0.5000, 0.2187) (multiplicity 4)  2 Cr 2.48

Computed properties:
DOS(E_F) ... 11.0 states/eV per cell
E above lowest polymorph ... 630 meV/atom

(6)
The following is a PBE calculation of an optimized crystal structure of TeRuW2, from Alexandria.

a = 3.2760 Å, b = 4.8010 Å, c = 9.0305 Å
α = 90.00°, β = 90.00°, γ = 90.00°
Closest atoms and distances in Å follow each position.
Space group Cmm2 (No. 35)
Asymmetric unit:
Te (0.0000, 0.0000, 0.0000) (multiplicity 2)  4 Te 2.91, 2 Ru 2.92, 2 W 3.01
Ru (0.0000, 0.5000, 0.7321) (multiplicity 2)  2 W 2.58
W (0.0000, 0.0000, 0.5111) (multiplicity 2)  2 Ru 2.58, 2 W 2.66
W (0.0000, 0.5000, 0.2794) (multiplicity 2)  6 W 2.66-2.91

Computed properties:
DOS(E_F) ... 10.3 states/eV per cell
Uncorrected formation energy ... 0.648 eV per atom

Question: DOS(E_F) of number 3 (Dy5Ho12Tl2)?
Answer: 55.7 states/eV per cell